No. 1
Computed, not measured: a geometry-optimized TbPm3Ru2 structure at the PBE level of DFT.

Lattice parameters (Å, degrees): 6.834 7.210 8.475 115.18 113.78 90.00
Fractional coordinates of all 12 atoms:
Ru1 0.859 0.133 0.267
Ru2 0.407 0.633 0.267
Ru3 0.141 0.867 0.733
Ru4 0.593 0.367 0.733
Pm1 0.500 0.750 0.000
Pm2 0.765 0.515 0.531
Pm3 0.235 0.985 0.469
Pm4 0.235 0.485 0.469
Pm5 0.765 0.015 0.531
Pm6 0.500 0.250 0.000
Tb1 0.000 0.500 0.000
Tb2 0.000 0.000 0.000

Calculated values
The formation energy from the elements is -0.9 eV per formula unit. As for the space-group type: Ibam. The calculation puts the calculated total energy at -0.470 Ry/atom.



No. 2
Computed, not measured: a geometry-optimized Tb3PmRu8 structure at the PBE level of DFT.

Lattice parameters (Å, degrees): 5.349 5.349 9.325 73.33 73.33 60.00
Fractional coordinates of all 12 atoms:
Ru1 0.438 0.438 0.185
Ru2 0.438 0.939 0.185
Ru3 0.939 0.438 0.185
Ru4 0.938 0.938 0.690
Ru5 0.434 0.938 0.690
Ru6 0.188 0.188 0.437
Ru7 0.688 0.688 0.937
Ru8 0.938 0.434 0.690
Tb1 0.000 0.000 0.000
Tb2 0.375 0.375 0.875
Tb3 0.500 0.500 0.501
Pm1 0.875 0.875 0.376

Calculated values
The formation energy from the elements is -3.0 eV per formula unit. As for the space-group type: R3m. The calculation puts the calculated total energy at -0.587 Ry/atom.



Which value of formation energy from the elements does entry 1 give? -0.9 eV per formula unit